{"formula": "La3SbN", "functional": "PBE-GGA", "state": "optimized geometry", "lattice_angstrom": [[4.949, 0.000, 0.000], [0.000, 4.949, 0.000], [0.000, 0.000, 8.519]], "species": ["La", "La", "La", "Sb", "N"], "frac_coords": [[0.000, 0.000, 0.000], [0.000, 0.500, 0.601], [0.500, 0.000, 0.601], [0.000, 0.000, 0.351], [0.500, 0.500, 0.627]], "sg": "No. 99", "energy_ev_per_fu": -28.50, "e_form_raw_ev_per_atom": -0.253, "dos_at_fermi_per_ev_cell": 5.6, "vol_a3_per_atom": 41.73}